Tb4GaTeC | PBE | optimized geometry

Lattice parameters (Å, degrees): 8.4497 8.4497 6.8109 90.00 90.00 132.74
Sites, in units of the cell vectors:
Tb: 0.0000 0.5000 0.0000
Tb: 0.0000 0.5000 0.5000
Tb: 0.0824 0.9176 0.7500
Tb: 0.4064 0.5936 0.7500
Tb: 0.5000 0.0000 0.0000
Tb: 0.5000 0.0000 0.5000
Tb: 0.5936 0.4064 0.2500
Tb: 0.9176 0.0824 0.2500
Ga: 0.1165 0.8835 0.2500
Ga: 0.8835 0.1165 0.7500
Te: 0.3919 0.6081 0.2500
Te: 0.6081 0.3919 0.7500
C: 0.2444 0.7556 0.7500
C: 0.7556 0.2444 0.2500

Calculated values
As for the uncorrected formation energy: -0.63 eV per atom. Its crystal system is orthorhombic.